First-principles (PBE) data for crystalline ZrZnCl at its relaxed geometry, as listed in Alexandria via LeMat-Bulk.

Cell and atoms, written as CIF:
```
data_ZrZnCl
_cell_length_a 7.720
_cell_length_b 7.723
_cell_length_c 3.135
_cell_angle_alpha 78.25
_cell_angle_beta 78.33
_cell_angle_gamma 23.43
_space_group_name_H-M_alt 'P 1'
_space_group_IT_number 1
loop_
_space_group_symop_operation_xyz
'x,y,z'
loop_
_atom_site_label
_atom_site_fract_x
_atom_site_fract_y
_atom_site_fract_z
Cl1 0.051 0.051 0.949
Zn1 0.288 0.288 0.712
Zr1 0.661 0.661 0.339
```

Properties
excess energy over the best structure of this formula in the dataset: 0.101 eV/atom
space group: Fmm2 (42)
uncorrected formation energy: -51 kJ per mole of atoms
Fermi-level density of states: 2.82 states/eV per cell